HfO2: optimized geometry, GGA-PBEsol.

a = 5.024 Å, b = 9.949 Å, c = 5.194 Å
α = 90.00°, β = 90.00°, γ = 90.00°
Fractional positions:
1 Hf 0.246 0.115 0.036
2 Hf 0.246 0.385 0.536
3 Hf 0.254 0.615 0.036
4 Hf 0.254 0.885 0.536
5 Hf 0.746 0.115 0.464
6 Hf 0.746 0.385 0.964
7 Hf 0.754 0.615 0.464
8 Hf 0.754 0.885 0.964
9 O 0.002 0.023 0.739
10 O 0.002 0.477 0.239
11 O 0.127 0.710 0.374
12 O 0.127 0.790 0.874
13 O 0.373 0.210 0.374
14 O 0.373 0.290 0.874
15 O 0.498 0.523 0.739
16 O 0.498 0.977 0.239
17 O 0.502 0.023 0.761
18 O 0.502 0.477 0.261
19 O 0.627 0.710 0.126
20 O 0.627 0.790 0.626
21 O 0.873 0.210 0.126
22 O 0.873 0.290 0.626
23 O 0.998 0.523 0.761
24 O 0.998 0.977 0.261

=====

HfO2: optimized geometry, GGA-PBEsol.

a = 3.549 Å, b = 3.549 Å, c = 3.549 Å
α = 60.00°, β = 60.00°, γ = 60.00°
Fractional positions:
1 Hf 0.000 0.000 0.000
2 O 0.250 0.250 0.250
3 O 0.750 0.750 0.750

=====

HfO2: optimized geometry, GGA-PBEsol.

a = 5.079 Å, b = 5.154 Å, c = 5.247 Å
α = 90.00°, β = 99.67°, γ = 90.00°
Fractional positions:
1 Hf 0.223 0.043 0.292
2 Hf 0.223 0.457 0.792
3 Hf 0.777 0.543 0.208
4 Hf 0.777 0.957 0.708
5 O 0.053 0.742 0.519
6 O 0.053 0.758 0.019
7 O 0.429 0.163 0.659
8 O 0.429 0.337 0.159
9 O 0.571 0.663 0.841
10 O 0.571 0.837 0.341
11 O 0.947 0.242 0.981
12 O 0.947 0.258 0.481

=====

HfO2: optimized geometry, GGA-PBEsol.

a = 4.811 Å, b = 4.811 Å, c = 3.198 Å
α = 90.00°, β = 90.00°, γ = 90.00°
Fractional positions:
1 Hf 0.000 0.000 0.000
2 Hf 0.500 0.500 0.500
3 O 0.195 0.195 0.500
4 O 0.305 0.695 0.000
5 O 0.695 0.305 0.000
6 O 0.805 0.805 0.500

=====

HfO2: optimized geometry, GGA-PBEsol.

a = 5.060 Å, b = 5.154 Å, c = 4.883 Å
α = 90.00°, β = 90.00°, γ = 90.00°
Fractional positions:
1 Hf 0.223 0.218 0.228
2 Hf 0.277 0.718 0.772
3 Hf 0.723 0.282 0.772
4 Hf 0.777 0.782 0.228
5 O 0.000 0.000 0.923
6 O 0.000 0.500 0.011
7 O 0.187 0.836 0.394
8 O 0.313 0.336 0.606
9 O 0.500 0.000 0.989
10 O 0.500 0.500 0.077
11 O 0.687 0.664 0.606
12 O 0.813 0.164 0.394

=====

HfO2: optimized geometry, GGA-PBEsol.

a = 4.883 Å, b = 5.693 Å, c = 5.186 Å
α = 90.00°, β = 90.00°, γ = 90.00°
Fractional positions:
1 Hf 0.000 0.178 0.250
2 Hf 0.000 0.822 0.750
3 Hf 0.500 0.322 0.750
4 Hf 0.500 0.678 0.250
5 O 0.225 0.106 0.578
6 O 0.225 0.894 0.078
7 O 0.275 0.394 0.078
8 O 0.275 0.606 0.578
9 O 0.725 0.394 0.422
10 O 0.725 0.606 0.922
11 O 0.775 0.106 0.922
12 O 0.775 0.894 0.422

=====

Raw total energy (computed, eV/atom): -10.60; -10.55; -10.61; -10.56; -10.54; -10.57
Raw formation energy (computed, meV per atom): -3598; -3545; -3614; -3558; -3536; -3572